# 1
{
  "formula": "SrCrMo2C",
  "functional": "GGA-PBE",
  "state": "optimized geometry",
  "lattice_angstrom": [[4.7781, 0.0000, 0.0000], [0.0000, 4.7781, 0.0000], [0.0000, 0.0000, 4.3740]],
  "species": ["Sr", "Cr", "Mo", "Mo", "C"],
  "frac_coords": [[0.0000, 0.0000, 0.0000], [0.0000, 0.0000, 0.5000], [0.0000, 0.5000, 0.0000], [0.5000, 0.0000, 0.0000], [0.5000, 0.5000, 0.5000]],
  "space_group": "P4/mmm",
  "magmom_total_mub_per_fu": 0.00,
  "formation_energy_ev_per_atom": 4.248
}


# 2
{
  "formula": "SrCrMoC2",
  "functional": "GGA-PBE",
  "state": "optimized geometry",
  "lattice_angstrom": [[4.0562, 0.0000, 0.0000], [0.0000, 4.0562, 0.0000], [0.0000, 0.0000, 4.5615]],
  "species": ["Sr", "Cr", "Mo", "C", "C"],
  "frac_coords": [[0.0000, 0.0000, 0.0000], [0.5000, 0.5000, 0.5000], [0.5000, 0.5000, 0.0000], [0.0000, 0.5000, 0.5000], [0.5000, 0.0000, 0.5000]],
  "space_group": "P4/mmm",
  "magmom_total_mub_per_fu": 0.26,
  "formation_energy_ev_per_atom": 1.541
}


# 3
{
  "formula": "ThCrMoC3",
  "functional": "GGA-PBE",
  "state": "optimized geometry",
  "lattice_angstrom": [[6.8046, 0.0000, 0.0000], [0.0000, 3.3429, 0.0000], [-2.2934, 0.0000, 7.1932]],
  "species": ["Th", "Th", "Cr", "Cr", "Mo", "Mo", "C", "C", "C", "C", "C", "C"],
  "frac_coords": [[0.2025, 0.2500, 0.2132], [0.7975, 0.7500, 0.7868], [0.1147, 0.2500, 0.6076], [0.8853, 0.7500, 0.3924], [0.3455, 0.7500, 0.8728], [0.6545, 0.2500, 0.1272], [0.1158, 0.2500, 0.8589], [0.1861, 0.7500, 0.5236], [0.4582, 0.7500, 0.1662], [0.5418, 0.2500, 0.8338], [0.8139, 0.2500, 0.4764], [0.8842, 0.7500, 0.1411]],
  "space_group": "P2_1/m",
  "magmom_total_mub_per_fu": 0.01,
  "formation_energy_ev_per_atom": 0.021
}


# 4
{
  "formula": "TiCrMoC2",
  "functional": "GGA-PBE",
  "state": "optimized geometry",
  "lattice_angstrom": [[3.9095, 0.0000, 0.0000], [0.0000, 3.9095, 0.0000], [0.0000, 0.0000, 4.4357]],
  "species": ["Ti", "Cr", "Mo", "C", "C"],
  "frac_coords": [[0.0000, 0.0000, 0.0000], [0.0000, 0.0000, 0.5000], [0.5000, 0.5000, 0.5000], [0.0000, 0.5000, 0.0000], [0.5000, 0.0000, 0.0000]],
  "space_group": "P4/mmm",
  "magmom_total_mub_per_fu": 0.01,
  "formation_energy_ev_per_atom": 2.058
}


# 5
{
  "formula": "UCrMo2C4",
  "functional": "GGA-PBE",
  "state": "optimized geometry",
  "lattice_angstrom": [[1.5809, -5.4727, 0.0000], [1.5809, 5.4727, 0.0000], [0.0000, 0.0000, 10.6196]],
  "species": ["U", "U", "Cr", "Cr", "Mo", "Mo", "Mo", "Mo", "C", "C", "C", "C", "C", "C", "C", "C"],
  "frac_coords": [[0.1025, 0.8975, 0.7500], [0.8975, 0.1025, 0.2500], [0.1606, 0.8394, 0.2500], [0.8394, 0.1606, 0.7500], [0.3746, 0.6254, 0.5409], [0.3746, 0.6254, 0.9591], [0.6254, 0.3746, 0.0409], [0.6254, 0.3746, 0.4591], [0.0000, 0.0000, 0.0000], [0.0000, 0.0000, 0.5000], [0.2700, 0.7300, 0.1167], [0.2700, 0.7300, 0.3833], [0.4406, 0.5594, 0.7500], [0.5594, 0.4406, 0.2500], [0.7300, 0.2700, 0.6167], [0.7300, 0.2700, 0.8833]],
  "space_group": "Cmcm",
  "magmom_total_mub_per_fu": 1.27,
  "formation_energy_ev_per_atom": -0.016
}


# 6
{
  "formula": "CrMoW2C",
  "functional": "GGA-PBE",
  "state": "optimized geometry",
  "lattice_angstrom": [[4.4859, 0.0000, 0.0000], [0.0000, 4.4859, 0.0000], [0.0000, 0.0000, 4.4095]],
  "species": ["Cr", "Mo", "W", "W", "C"],
  "frac_coords": [[0.0000, 0.0000, 0.0000], [0.0000, 0.0000, 0.5000], [0.0000, 0.5000, 0.0000], [0.5000, 0.0000, 0.0000], [0.5000, 0.5000, 0.5000]],
  "space_group": "P4/mmm",
  "magmom_total_mub_per_fu": 0.00,
  "formation_energy_ev_per_atom": 2.657
}


# 7
{
  "formula": "YCrMo2C",
  "functional": "GGA-PBE",
  "state": "optimized geometry",
  "lattice_angstrom": [[4.4216, 0.0000, 0.0000], [0.0000, 4.4216, 0.0000], [0.0000, 0.0000, 3.8601]],
  "species": ["Y", "Cr", "Mo", "Mo", "C"],
  "frac_coords": [[0.0000, 0.0000, 0.0000], [0.5000, 0.5000, 0.0000], [0.0000, 0.5000, 0.5000], [0.5000, 0.0000, 0.5000], [0.5000, 0.5000, 0.5000]],
  "space_group": "P4/mmm",
  "magmom_total_mub_per_fu": 0.00,
  "formation_energy_ev_per_atom": 0.238
}


# 8
{
  "formula": "Cr6C2N",
  "functional": "GGA-PBE",
  "state": "optimized geometry",
  "lattice_angstrom": [[8.4095, 0.0000, 0.0000], [-4.2047, 7.2828, 0.0000], [0.0000, 0.0000, 4.3273]],
  "species": ["Cr", "Cr", "Cr", "Cr", "Cr", "Cr", "Cr", "Cr", "Cr", "Cr", "Cr", "Cr", "Cr", "Cr", "Cr", "Cr", "Cr", "Cr", "C", "C", "C", "C", "C", "C", "N", "N", "N"],
  "frac_coords": [[0.1082, 0.5541, 0.2540], [0.1107, 0.2214, 0.2528], [0.1107, 0.8893, 0.2528], [0.2214, 0.1107, 0.7472], [0.2238, 0.4475, 0.7482], [0.2238, 0.7762, 0.7482], [0.4459, 0.5541, 0.2540], [0.4459, 0.8918, 0.2540], [0.4475, 0.2238, 0.2518], [0.5525, 0.7762, 0.7482], [0.5541, 0.1082, 0.7460], [0.5541, 0.4459, 0.7460], [0.7762, 0.2238, 0.2518], [0.7762, 0.5525, 0.2518], [0.7786, 0.8893, 0.2528], [0.8893, 0.1107, 0.7472], [0.8893, 0.7786, 0.7472], [0.8918, 0.4459, 0.7460], [0.0000, 0.3345, 0.0000], [0.0000, 0.6655, 0.0000], [0.3345, 0.0000, 0.0000], [0.3345, 0.3345, 0.0000], [0.6655, 0.0000, 0.0000], [0.6655, 0.6655, 0.0000], [0.0000, 0.0000, 0.0000], [0.3333, 0.6667, 0.4938], [0.6667, 0.3333, 0.5062]],
  "space_group": "P-3m1",
  "magmom_total_mub_per_fu": 0.00,
  "raw_formation_energy_ev_per_atom": -0.18
}


# 9
{
  "formula": "Cr6CN3",
  "functional": "GGA-PBE",
  "state": "optimized geometry",
  "lattice_angstrom": [[2.3786, 1.3733, 4.7230], [-2.3786, 1.3733, 4.7230], [0.0000, -2.7466, 4.7230]],
  "species": ["Cr", "Cr", "Cr", "Cr", "Cr", "Cr", "C", "N", "N", "N"],
  "frac_coords": [[0.0006, 0.6777, 0.3217], [0.1858, 0.4945, 0.8251], [0.3217, 0.0006, 0.6777], [0.4945, 0.8251, 0.1858], [0.6777, 0.3217, 0.0006], [0.8251, 0.1858, 0.4945], [0.9080, 0.9080, 0.9080], [0.0916, 0.0916, 0.0916], [0.4091, 0.4091, 0.4091], [0.5931, 0.5931, 0.5931]],
  "space_group": "R3",
  "magmom_total_mub_per_fu": 0.00,
  "raw_formation_energy_ev_per_atom": -0.33
}


# 10
{
  "formula": "CrCN",
  "functional": "GGA-PBE",
  "state": "optimized geometry",
  "lattice_angstrom": [[2.7755, 0.0000, 0.0000], [0.0000, 2.7755, 0.0000], [0.0000, 0.0000, 7.4407]],
  "species": ["Cr", "Cr", "C", "C", "N", "N"],
  "frac_coords": [[0.0000, 0.0000, 0.0000], [0.5000, 0.5000, 0.5000], [0.0000, 0.0000, 0.5970], [0.5000, 0.5000, 0.0970], [0.0000, 0.0000, 0.7729], [0.5000, 0.5000, 0.2729]],
  "space_group": "I4mm",
  "magmom_total_mub_per_fu": 0.00,
  "raw_formation_energy_ev_per_atom": 0.21,
  "de_polymorph_kj_per_mol_atoms": 17.0
}


# 11
{
  "formula": "Cr2CN",
  "functional": "GGA-PBE",
  "state": "optimized geometry",
  "lattice_angstrom": [[2.7462, 0.0000, 0.0000], [-1.3731, 2.3783, 0.0000], [0.0000, 0.0000, 15.1807]],
  "species": ["Cr", "Cr", "Cr", "Cr", "Cr", "Cr", "C", "C", "C", "N", "N", "N"],
  "frac_coords": [[0.0000, 0.0000, 0.0000], [0.0000, 0.0000, 0.1689], [0.3333, 0.6667, 0.6667], [0.3333, 0.6667, 0.8356], [0.6667, 0.3333, 0.3333], [0.6667, 0.3333, 0.5022], [0.0000, 0.0000, 0.5843], [0.3333, 0.6667, 0.2510], [0.6667, 0.3333, 0.9177], [0.0000, 0.0000, 0.7489], [0.3333, 0.6667, 0.4155], [0.6667, 0.3333, 0.0822]],
  "space_group": "R3m",
  "magmom_total_mub_per_fu": 0.04,
  "raw_formation_energy_ev_per_atom": -0.19,
  "de_polymorph_kj_per_mol_atoms": 0.0
}


# 12
{
  "formula": "CrC2N",
  "functional": "GGA-PBE",
  "state": "optimized geometry",
  "lattice_angstrom": [[4.4356, 0.0000, 0.0000], [0.0000, 4.4356, 0.0000], [0.0000, 0.0000, 6.1910]],
  "species": ["Cr", "Cr", "Cr", "Cr", "C", "C", "C", "C", "C", "C", "C", "C", "N", "N", "N", "N"],
  "frac_coords": [[0.0000, 0.0000, 0.0000], [0.0000, 0.5000, 0.2500], [0.5000, 0.0000, 0.7500], [0.5000, 0.5000, 0.5000], [0.1628, 0.2500, 0.6250], [0.2500, 0.6628, 0.8750], [0.2500, 0.8372, 0.3750], [0.3372, 0.2500, 0.1250], [0.6628, 0.7500, 0.1250], [0.7500, 0.1628, 0.3750], [0.7500, 0.3372, 0.8750], [0.8372, 0.7500, 0.6250], [0.0000, 0.0000, 0.5000], [0.0000, 0.5000, 0.7500], [0.5000, 0.0000, 0.2500], [0.5000, 0.5000, 0.0000]],
  "space_group": "I-42d",
  "magmom_total_mub_per_fu": 0.00,
  "raw_formation_energy_ev_per_atom": 1.16
}


# 13
{
  "formula": "Cr3CN",
  "functional": "GGA-PBE",
  "state": "optimized geometry",
  "lattice_angstrom": [[3.6849, 0.0000, 0.0000], [0.0000, 3.6849, 0.0000], [0.0000, 0.0000, 3.6849]],
  "species": ["Cr", "Cr", "Cr", "C", "N"],
  "frac_coords": [[0.0000, 0.0000, 0.5000], [0.0000, 0.5000, 0.0000], [0.5000, 0.0000, 0.0000], [0.5000, 0.5000, 0.5000], [0.0000, 0.0000, 0.0000]],
  "space_group": "Pm-3m",
  "magmom_total_mub_per_fu": 0.00,
  "raw_formation_energy_ev_per_atom": 0.65,
  "de_polymorph_kj_per_mol_atoms": 0.0
}


# 14
{
  "formula": "Cr4CN2",
  "functional": "GGA-PBE",
  "state": "optimized geometry",
  "lattice_angstrom": [[0.0000, 4.0599, 4.0753], [4.0522, 0.0000, 4.0753], [4.0522, 4.0599, 0.0000]],
  "species": ["Cr", "Cr", "Cr", "Cr", "Cr", "Cr", "Cr", "Cr", "C", "C", "N", "N", "N", "N"],
  "frac_coords": [[0.2250, 0.7569, 0.7585], [0.2404, 0.2415, 0.2431], [0.2415, 0.2404, 0.7750], [0.2431, 0.7750, 0.2404], [0.7569, 0.2250, 0.7596], [0.7585, 0.7596, 0.2250], [0.7596, 0.7585, 0.7569], [0.7750, 0.2431, 0.2415], [0.3750, 0.3750, 0.3750], [0.6250, 0.6250, 0.6250], [0.0000, 0.0000, 0.0000], [0.0000, 0.0000, 0.5000], [0.0000, 0.5000, 0.0000], [0.5000, 0.0000, 0.0000]],
  "space_group": "Fddd",
  "magmom_total_mub_per_fu": 0.00,
  "raw_formation_energy_ev_per_atom": -0.16,
  "de_polymorph_kj_per_mol_atoms": 0.0
}


# 15
{
  "formula": "CrCN3",
  "functional": "GGA-PBE",
  "state": "optimized geometry",
  "lattice_angstrom": [[3.2682, 0.0000, 0.0000], [0.0000, 3.2682, 0.0000], [0.0000, 0.0000, 3.2682]],
  "species": ["Cr", "C", "N", "N", "N"],
  "frac_coords": [[0.0000, 0.0000, 0.0000], [0.5000, 0.5000, 0.5000], [0.0000, 0.5000, 0.5000], [0.5000, 0.0000, 0.5000], [0.5000, 0.5000, 0.0000]],
  "space_group": "Pm-3m",
  "magmom_total_mub_per_fu": 0.00,
  "raw_formation_energy_ev_per_atom": 2.12
}


# 16
{
  "formula": "CrC3N3",
  "functional": "GGA-PBE",
  "state": "optimized geometry",
  "lattice_angstrom": [[7.1555, 0.0000, 0.0000], [-3.5778, 6.1969, 0.0000], [0.0000, 0.0000, 12.8415]],
  "species": ["Cr", "Cr", "Cr", "Cr", "C", "C", "C", "C", "C", "C", "C", "C", "C", "C", "C", "C", "N", "N", "N", "N", "N", "N", "N", "N", "N", "N", "N", "N"],
  "frac_coords": [[0.0000, 0.0000, 0.0000], [0.0000, 0.0000, 0.5000], [0.3333, 0.6667, 0.2500], [0.6667, 0.3333, 0.7500], [0.1336, 0.2673, 0.0931], [0.1336, 0.2673, 0.4069], [0.1336, 0.8664, 0.0931], [0.1336, 0.8664, 0.4069], [0.2673, 0.1336, 0.5931], [0.2673, 0.1336, 0.9069], [0.7327, 0.8664, 0.0931], [0.7327, 0.8664, 0.4069], [0.8664, 0.1336, 0.5931], [0.8664, 0.1336, 0.9069], [0.8664, 0.7327, 0.5931], [0.8664, 0.7327, 0.9069], [0.2084, 0.4168, 0.1487], [0.2084, 0.4168, 0.3513], [0.2084, 0.7916, 0.1487], [0.2084, 0.7916, 0.3513], [0.4168, 0.2084, 0.6487], [0.4168, 0.2084, 0.8513], [0.5832, 0.7916, 0.1487], [0.5832, 0.7916, 0.3513], [0.7916, 0.2084, 0.6487], [0.7916, 0.2084, 0.8513], [0.7916, 0.5832, 0.6487], [0.7916, 0.5832, 0.8513]],
  "space_group": "P6_3/mmc",
  "magmom_total_mub_per_fu": 3.00,
  "raw_formation_energy_ev_per_atom": 0.32
}


# 17
{
  "formula": "Cr2CN",
  "functional": "GGA-PBE",
  "state": "optimized geometry",
  "lattice_angstrom": [[4.4003, 0.0000, 0.0000], [0.0000, 4.4003, 0.0000], [0.0000, 0.0000, 8.8058]],
  "species": ["Cr", "Cr", "Cr", "Cr", "Cr", "Cr", "Cr", "Cr", "C", "C", "C", "C", "N", "N", "N", "N"],
  "frac_coords": [[0.2441, 0.2500, 0.1250], [0.2500, 0.7441, 0.3750], [0.2500, 0.7559, 0.8750], [0.2559, 0.2500, 0.6250], [0.7441, 0.7500, 0.6250], [0.7500, 0.2441, 0.8750], [0.7500, 0.2559, 0.3750], [0.7559, 0.7500, 0.1250], [0.0000, 0.0000, 0.5000], [0.0000, 0.5000, 0.7500], [0.5000, 0.0000, 0.2500], [0.5000, 0.5000, 0.0000], [0.0000, 0.0000, 0.0000], [0.0000, 0.5000, 0.2500], [0.5000, 0.0000, 0.7500], [0.5000, 0.5000, 0.5000]],
  "space_group": "I-42d",
  "magmom_total_mub_per_fu": 3.00,
  "raw_formation_energy_ev_per_atom": -0.07,
  "de_polymorph_kj_per_mol_atoms": 11.8
}


# 18
{
  "formula": "Cr2C3N6",
  "functional": "GGA-PBE",
  "state": "optimized geometry",
  "lattice_angstrom": [[2.7740, 1.6016, 9.3701], [-2.7740, 1.6016, 9.3701], [0.0000, -3.2031, 9.3701]],
  "species": ["Cr", "Cr", "Cr", "Cr", "C", "C", "C", "C", "C", "C", "N", "N", "N", "N", "N", "N", "N", "N", "N", "N", "N", "N"],
  "frac_coords": [[0.1651, 0.1651, 0.1651], [0.3349, 0.3349, 0.3349], [0.6651, 0.6651, 0.6651], [0.8349, 0.8349, 0.8349], [0.0650, 0.7500, 0.4350], [0.2500, 0.5650, 0.9350], [0.4350, 0.0650, 0.7500], [0.5650, 0.9350, 0.2500], [0.7500, 0.4350, 0.0650], [0.9350, 0.2500, 0.5650], [0.0422, 0.6556, 0.4236], [0.0764, 0.8444, 0.4578], [0.1556, 0.5422, 0.9236], [0.3444, 0.5764, 0.9578], [0.4236, 0.0422, 0.6556], [0.4578, 0.0764, 0.8444], [0.5422, 0.9236, 0.1556], [0.5764, 0.9578, 0.3444], [0.6556, 0.4236, 0.0422], [0.8444, 0.4578, 0.0764], [0.9236, 0.1556, 0.5422], [0.9578, 0.3444, 0.5764]],
  "space_group": "R-3c",
  "magmom_total_mub_per_fu": 6.00,
  "raw_formation_energy_ev_per_atom": -0.08
}


# 19
{
  "formula": "Cr2CN",
  "functional": "GGA-PBE",
  "state": "optimized geometry",
  "lattice_angstrom": [[5.0348, 0.0000, 0.0000], [0.0000, 5.0348, 0.0000], [0.0000, 0.0000, 5.0348]],
  "species": ["Cr", "Cr", "Cr", "Cr", "Cr", "Cr", "Cr", "Cr", "C", "C", "C", "C", "N", "N", "N", "N"],
  "frac_coords": [[0.2500, 0.2500, 0.2500], [0.2500, 0.2500, 0.7500], [0.2500, 0.7500, 0.2500], [0.2500, 0.7500, 0.7500], [0.7500, 0.2500, 0.2500], [0.7500, 0.2500, 0.7500], [0.7500, 0.7500, 0.2500], [0.7500, 0.7500, 0.7500], [0.0000, 0.0000, 0.0000], [0.0000, 0.5000, 0.5000], [0.5000, 0.0000, 0.5000], [0.5000, 0.5000, 0.0000], [0.0000, 0.0000, 0.5000], [0.0000, 0.5000, 0.0000], [0.5000, 0.0000, 0.0000], [0.5000, 0.5000, 0.5000]],
  "space_group": "Fm-3m",
  "magmom_total_mub_per_fu": 1.07,
  "raw_formation_energy_ev_per_atom": 0.44,
  "de_polymorph_kj_per_mol_atoms": 60.9
}


# 20
{
  "formula": "CrCN3",
  "functional": "GGA-PBE",
  "state": "optimized geometry",
  "lattice_angstrom": [[3.6970, 0.0000, 0.0000], [0.0000, 3.6970, 0.0000], [0.0000, 0.0000, 3.6970]],
  "species": ["Cr", "C", "N", "N", "N"],
  "frac_coords": [[0.0000, 0.0000, 0.0000], [0.5000, 0.5000, 0.5000], [0.0000, 0.0000, 0.5000], [0.0000, 0.5000, 0.0000], [0.5000, 0.0000, 0.0000]],
  "space_group": "Pm-3m",
  "magmom_total_mub_per_fu": 0.48,
  "raw_formation_energy_ev_per_atom": 2.25
}